Computed, not measured: a relaxed BaPa2S6 crystal at the GGA-PBE level of DFT.

Summary:
size of the total moment	0.000	μB per formula unit
energy above the most stable polymorph in this dataset	0.0123	eV per atom
raw formation energy	-15.390	eV per formula unit
density of states at the Fermi level	0.00	states/eV/f.u.

Cell: 7.0486 7.0486 7.9556 Å, 102.24 102.24 119.77°
Element x y z (fractional)
Ba 0.0000 0.0000 0.0000
Pa 0.3330 0.6670 0.5000
Pa 0.6670 0.3330 0.5000
S 0.0950 0.7175 0.7010
S 0.2825 0.9050 0.2990
S 0.4905 0.4905 0.2821
S 0.5095 0.5095 0.7179
S 0.7175 0.0950 0.7010
S 0.9050 0.2825 0.2990